An optimized crystal structure of Rb5Cd4Ag. Source: Alexandria, functional PBE-GGA.

CIF file:
```
data_Rb5Cd4Ag
_cell_length_a 22.974
_cell_length_b 4.968
_cell_length_c 9.237
_cell_angle_alpha 90.00
_cell_angle_beta 111.76
_cell_angle_gamma 90.00
_space_group_name_H-M_alt 'C 1 2/m 1'
_space_group_IT_number 12
_space_group_name_Hall '-C 2y'
loop_
_atom_site_label
_atom_site_fract_x
_atom_site_fract_y
_atom_site_fract_z
Rb1 0.000 0.000 0.000
Rb2 0.139 0.500 0.779
Rb3 0.199 0.500 0.292
Cd1 0.036 0.500 0.375
Cd2 0.116 0.000 0.444
Ag1 0.000 0.000 0.500
```

Calculated values
formation energy = -0.0348 eV per atom
volume = 49.0 Å³/atom
crystal system = monoclinic
magnetic moment = 0.0 Bohr magnetons per cell

=====

An optimized crystal structure of PuAl2SiH2. Source: Alexandria, functional PBE-GGA.

CIF file:
```
data_PuAl2SiH2
_cell_length_a 5.722
_cell_length_b 5.671
_cell_length_c 5.759
_cell_angle_alpha 90.00
_cell_angle_beta 119.14
_cell_angle_gamma 90.00
_space_group_name_H-M_alt 'P 1 21/m 1'
_space_group_IT_number 11
_space_group_name_Hall '-P 2yb'
loop_
_atom_site_label
_atom_site_fract_x
_atom_site_fract_y
_atom_site_fract_z
Pu1 0.010 0.250 0.262
Al1 0.490 0.005 0.747
Si1 0.154 0.750 0.323
H1 0.292 0.250 0.124
H2 0.416 0.750 0.960
```

Calculated values
final energy = -34.72 eV per formula unit
volume = 13.6 Å³/atom
crystal system = monoclinic
magnetic moment = 11.1 Bohr magnetons per cell

=====

An optimized crystal structure of Tb2Tm6Ni. Source: Alexandria, functional PBE-GGA.

CIF file:
```
data_Tb2Tm6Ni
_cell_length_a 9.050
_cell_length_b 16.814
_cell_length_c 3.531
_cell_angle_alpha 90.00
_cell_angle_beta 90.00
_cell_angle_gamma 90.00
_space_group_name_H-M_alt 'C m m m'
_space_group_IT_number 65
_space_group_name_Hall '-C 2 2'
loop_
_atom_site_label
_atom_site_fract_x
_atom_site_fract_y
_atom_site_fract_z
Tb1 0.000 0.171 0.000
Tm1 0.169 0.336 0.500
Tm2 0.226 0.500 0.000
Ni1 0.000 0.500 0.500
```

Calculated values
formation energy = 0.1129 eV per atom
volume = 29.8 Å³/atom
crystal system = orthorhombic
magnetic moment = 0.0 Bohr magnetons per cell

=====

An optimized crystal structure of Hf12TlIn3. Source: Alexandria, functional PBE-GGA.

CIF file:
```
data_Hf12TlIn3
_cell_length_a 4.434
_cell_length_b 4.434
_cell_length_c 17.698
_cell_angle_alpha 90.00
_cell_angle_beta 90.00
_cell_angle_gamma 90.00
_space_group_name_H-M_alt 'P 4/m m m'
_space_group_IT_number 123
_space_group_name_Hall '-P 4 2'
loop_
_atom_site_label
_atom_site_fract_x
_atom_site_fract_y
_atom_site_fract_z
Hf1 0.000 0.000 0.000
Hf2 0.000 0.000 0.250
Hf3 0.000 0.000 0.500
Hf4 0.000 0.500 0.125
Hf5 0.000 0.500 0.374
Tl1 0.500 0.500 0.500
In1 0.500 0.500 0.000
In2 0.500 0.500 0.250
```

Calculated values
formation energy = -0.1026 eV per atom
volume = 21.7 Å³/atom
crystal system = tetragonal
magnetic moment = 0.0 Bohr magnetons per cell

=====

An optimized crystal structure of AcEuAlCu. Source: Alexandria, functional PBE-GGA.

CIF file:
```
data_AcEuAlCu
_cell_length_a 7.647
_cell_length_b 7.647
_cell_length_c 7.647
_cell_angle_alpha 90.00
_cell_angle_beta 90.00
_cell_angle_gamma 90.00
_space_group_name_H-M_alt 'F -4 3 m'
_space_group_IT_number 216
_space_group_name_Hall 'F -4 2 3'
loop_
_atom_site_label
_atom_site_fract_x
_atom_site_fract_y
_atom_site_fract_z
Ac1 0.000 0.000 0.000
Eu1 0.000 0.000 0.500
Al1 0.250 0.250 0.250
Cu1 0.250 0.250 0.750
```

Calculated values
formation energy = -0.1325 eV per atom
volume = 27.9 Å³/atom
crystal system = cubic
magnetic moment = 28.0 Bohr magnetons per cell

=====

An optimized crystal structure of Dy7NiCl12. Source: Alexandria, functional PBE-GGA.

CIF file:
```
data_Dy7NiCl12
_cell_length_a 14.1930
_cell_length_b 14.1930
_cell_length_c 9.6484
_cell_angle_alpha 90.00
_cell_angle_beta 90.00
_cell_angle_gamma 120.00
_space_group_name_H-M_alt 'R -3'
_space_group_IT_number 148
_space_group_name_Hall '-R 3'
loop_
_atom_site_label
_atom_site_fract_x
_atom_site_fract_y
_atom_site_fract_z
Dy1 0.0000 0.0000 0.0000
Dy2 0.0403 0.8746 0.3467
Ni1 0.0000 0.0000 0.5000
Cl1 0.0245 0.4420 0.1571
Cl2 0.0447 0.8705 0.8419
```

Calculated values
final energy = -97.45 eV per formula unit
volume = 28.1 Å³/atom
crystal system = trigonal
magnetic moment = 2.3 Bohr magnetons per cell

=====

An optimized crystal structure of Sm4Ag5Pt2. Source: Alexandria, functional PBE-GGA.

CIF file:
```
data_Sm4Ag5Pt2
_cell_length_a 7.425
_cell_length_b 3.773
_cell_length_c 9.408
_cell_angle_alpha 90.00
_cell_angle_beta 95.79
_cell_angle_gamma 90.00
_space_group_name_H-M_alt 'P 1 2/m 1'
_space_group_IT_number 10
_space_group_name_Hall '-P 2y'
loop_
_atom_site_label
_atom_site_fract_x
_atom_site_fract_y
_atom_site_fract_z
Sm1 0.189 0.000 0.363
Sm2 0.235 0.000 0.941
Ag1 0.177 0.500 0.642
Ag2 0.463 0.500 0.187
Ag3 0.500 0.500 0.500
Pt1 0.072 0.500 0.145
```

Calculated values
formation energy = -0.5382 eV per atom
volume = 23.8 Å³/atom
crystal system = monoclinic
magnetic moment = 0.0 Bohr magnetons per cell

=====

An optimized crystal structure of TiTeAsN2. Source: Alexandria, functional PBE-GGA.

CIF file:
```
data_TiTeAsN2
_cell_length_a 3.804
_cell_length_b 3.804
_cell_length_c 6.204
_cell_angle_alpha 90.00
_cell_angle_beta 90.00
_cell_angle_gamma 90.00
_space_group_name_H-M_alt 'P 4/m m m'
_space_group_IT_number 123
_space_group_name_Hall '-P 4 2'
loop_
_atom_site_label
_atom_site_fract_x
_atom_site_fract_y
_atom_site_fract_z
Ti1 0.000 0.000 0.000
Te1 0.500 0.500 0.000
As1 0.500 0.500 0.500
N1 0.000 0.500 0.500
```

Calculated values
volume = 18.0 Å³/atom
offset from the most stable computed form = 3.355 eV/f.u.
crystal system = tetragonal
magnetic moment = 0.0 Bohr magnetons per cell

=====

An optimized crystal structure of AcPrZn2Au5. Source: Alexandria, functional PBE-GGA.

CIF file:
```
data_AcPrZn2Au5
_cell_length_a 4.655
_cell_length_b 4.655
_cell_length_c 9.304
_cell_angle_alpha 90.00
_cell_angle_beta 90.00
_cell_angle_gamma 90.00
_space_group_name_H-M_alt 'P 4/m m m'
_space_group_IT_number 123
_space_group_name_Hall '-P 4 2'
loop_
_atom_site_label
_atom_site_fract_x
_atom_site_fract_y
_atom_site_fract_z
Ac1 0.000 0.000 0.000
Pr1 0.000 0.000 0.500
Zn1 0.500 0.500 0.369
Au1 0.000 0.500 0.245
Au2 0.500 0.500 0.000
```

Calculated values
formation energy = -0.5307 eV per atom
volume = 22.4 Å³/atom
crystal system = tetragonal
magnetic moment = 0.0 Bohr magnetons per cell

=====

An optimized crystal structure of ZrAsSe. Source: Alexandria, functional PBE-GGA.

CIF file:
```
data_ZrAsSe
_cell_length_a 3.562
_cell_length_b 3.588
_cell_length_c 9.028
_cell_angle_alpha 90.00
_cell_angle_beta 90.00
_cell_angle_gamma 90.00
_space_group_name_H-M_alt 'I m m 2'
_space_group_IT_number 44
_space_group_name_Hall 'I 2 -2'
loop_
_atom_site_label
_atom_site_fract_x
_atom_site_fract_y
_atom_site_fract_z
Zr1 0.000 0.000 0.000
As1 0.000 0.000 0.659
Se1 0.000 0.000 0.344
```

Calculated values
final energy = -19.11 eV per formula unit
volume = 19.2 Å³/atom
crystal system = orthorhombic
magnetic moment = 0.0 Bohr magnetons per cell

=====

An optimized crystal structure of TbPm2Ge3. Source: Alexandria, functional PBE-GGA.

CIF file:
```
data_TbPm2Ge3
_cell_length_a 4.253
_cell_length_b 5.978
_cell_length_c 12.627
_cell_angle_alpha 90.00
_cell_angle_beta 90.00
_cell_angle_gamma 90.00
_space_group_name_H-M_alt 'I m m m'
_space_group_IT_number 71
_space_group_name_Hall '-I 2 2'
loop_
_atom_site_label
_atom_site_fract_x
_atom_site_fract_y
_atom_site_fract_z
Tb1 0.000 0.000 0.000
Pm1 0.000 0.000 0.332
Ge1 0.000 0.500 0.000
Ge2 0.000 0.500 0.337
```

Calculated values
formation energy = -0.6617 eV per atom
volume = 26.7 Å³/atom
crystal system = orthorhombic
magnetic moment = 0.0 Bohr magnetons per cell

=====

An optimized crystal structure of Cu4RhAu. Source: Alexandria, functional PBE-GGA.

CIF file:
```
data_Cu4RhAu
_cell_length_a 4.1865
_cell_length_b 4.1865
_cell_length_c 5.3801
_cell_angle_alpha 90.00
_cell_angle_beta 90.00
_cell_angle_gamma 120.00
_space_group_name_H-M_alt 'P 6/m m m'
_space_group_IT_number 191
_space_group_name_Hall '-P 6 2'
loop_
_atom_site_label
_atom_site_fract_x
_atom_site_fract_y
_atom_site_fract_z
Cu1 0.3333 0.6667 0.2364
Rh1 0.0000 0.0000 0.0000
Au1 0.0000 0.0000 0.5000
```

Calculated values
formation energy = 0.0502 eV per atom
volume = 13.6 Å³/atom
offset from the most stable computed form = 0.140 eV/f.u.
crystal system = hexagonal
magnetic moment = 0.0 Bohr magnetons per cell

=====

An optimized crystal structure of Ac2GaNi6Pt. Source: Alexandria, functional PBE-GGA.

CIF file:
```
data_Ac2GaNi6Pt
_cell_length_a 11.829
_cell_length_b 4.955
_cell_length_c 8.483
_cell_angle_alpha 90.00
_cell_angle_beta 133.54
_cell_angle_gamma 90.00
_space_group_name_H-M_alt 'C 1 2/m 1'
_space_group_IT_number 12
_space_group_name_Hall '-C 2y'
loop_
_atom_site_label
_atom_site_fract_x
_atom_site_fract_y
_atom_site_fract_z
Ac1 0.239 0.000 0.192
Ga1 0.000 0.000 0.500
Ni1 0.022 0.251 0.281
Ni2 0.249 0.000 0.578
Pt1 0.000 0.500 0.000
```

Calculated values
formation energy = -0.4230 eV per atom
volume = 18.0 Å³/atom
crystal system = monoclinic
magnetic moment = 0.0 Bohr magnetons per cell

=====

An optimized crystal structure of TbGd2Cd. Source: Alexandria, functional PBE-GGA.

CIF file:
```
data_TbGd2Cd
_cell_length_a 3.4883
_cell_length_b 3.4883
_cell_length_c 36.4824
_cell_angle_alpha 90.00
_cell_angle_beta 90.00
_cell_angle_gamma 120.00
_space_group_name_H-M_alt 'R -3 m'
_space_group_IT_number 166
_space_group_name_Hall '-R 3 2"'
loop_
_atom_site_label
_atom_site_fract_x
_atom_site_fract_y
_atom_site_fract_z
Tb1 0.0000 0.0000 0.0000
Gd1 0.0000 0.0000 0.4113
Cd1 0.0000 0.0000 0.5000
```

Calculated values
formation energy = 0.1590 eV per atom
volume = 32.0 Å³/atom
offset from the most stable computed form = 1.222 eV/f.u.
crystal system = trigonal
magnetic moment = 44.7 Bohr magnetons per cell

=====

An optimized crystal structure of CuAgRu. Source: Alexandria, functional PBE-GGA.

CIF file:
```
data_CuAgRu
_cell_length_a 5.877
_cell_length_b 5.877
_cell_length_c 5.877
_cell_angle_alpha 90.00
_cell_angle_beta 90.00
_cell_angle_gamma 90.00
_space_group_name_H-M_alt 'F -4 3 m'
_space_group_IT_number 216
_space_group_name_Hall 'F -4 2 3'
loop_
_atom_site_label
_atom_site_fract_x
_atom_site_fract_y
_atom_site_fract_z
Cu1 0.000 0.000 0.000
Ag1 0.250 0.250 0.250
Ru1 0.250 0.250 0.750
```

Calculated values
formation energy = 0.8366 eV per atom
volume = 16.9 Å³/atom
offset from the most stable computed form = 2.041 eV/f.u.
crystal system = cubic
magnetic moment = 8.4 Bohr magnetons per cell

=====

An optimized crystal structure of TaOs2Se2. Source: Alexandria, functional PBE-GGA.

CIF file:
```
data_TaOs2Se2
_cell_length_a 7.314
_cell_length_b 7.314
_cell_length_c 2.999
_cell_angle_alpha 90.00
_cell_angle_beta 90.00
_cell_angle_gamma 90.00
_space_group_name_H-M_alt 'P 4/m b m'
_space_group_IT_number 127
_space_group_name_Hall '-P 4 2ab'
loop_
_atom_site_label
_atom_site_fract_x
_atom_site_fract_y
_atom_site_fract_z
Ta1 0.000 0.000 0.000
Os1 0.155 0.345 0.500
Se1 0.153 0.653 0.000
```

Calculated values
final energy = -38.09 eV per formula unit
volume = 16.0 Å³/atom
crystal system = tetragonal
magnetic moment = 0.0 Bohr magnetons per cell

=====

An optimized crystal structure of HfTaAs2Br. Source: Alexandria, functional PBE-GGA.

CIF file:
```
data_HfTaAs2Br
_cell_length_a 5.153
_cell_length_b 5.153
_cell_length_c 5.023
_cell_angle_alpha 90.00
_cell_angle_beta 90.00
_cell_angle_gamma 90.00
_space_group_name_H-M_alt 'P 4/m m m'
_space_group_IT_number 123
_space_group_name_Hall '-P 4 2'
loop_
_atom_site_label
_atom_site_fract_x
_atom_site_fract_y
_atom_site_fract_z
Hf1 0.000 0.000 0.000
Ta1 0.500 0.500 0.500
As1 0.000 0.500 0.000
Br1 0.000 0.000 0.500
```

Calculated values
volume = 26.7 Å³/atom
offset from the most stable computed form = 1.070 eV/f.u.
crystal system = tetragonal
magnetic moment = 2.6 Bohr magnetons per cell

=====

An optimized crystal structure of Ba2TlSnPt. Source: Alexandria, functional PBE-GGA.

CIF file:
```
data_Ba2TlSnPt
_cell_length_a 6.218
_cell_length_b 6.218
_cell_length_c 5.102
_cell_angle_alpha 90.00
_cell_angle_beta 90.00
_cell_angle_gamma 90.00
_space_group_name_H-M_alt 'P 4/m m m'
_space_group_IT_number 123
_space_group_name_Hall '-P 4 2'
loop_
_atom_site_label
_atom_site_fract_x
_atom_site_fract_y
_atom_site_fract_z
Ba1 0.000 0.500 0.000
Tl1 0.000 0.000 0.500
Sn1 0.500 0.500 0.500
Pt1 0.500 0.500 0.000
```

Calculated values
formation energy = -0.5160 eV per atom
volume = 39.4 Å³/atom
offset from the most stable computed form = 0.000 eV/f.u.
crystal system = tetragonal
magnetic moment = 0.0 Bohr magnetons per cell

=====

An optimized crystal structure of CaSm3Y. Source: Alexandria, functional PBE-GGA.

CIF file:
```
data_CaSm3Y
_cell_length_a 6.729
_cell_length_b 17.996
_cell_length_c 6.435
_cell_angle_alpha 90.00
_cell_angle_beta 90.00
_cell_angle_gamma 90.00
_space_group_name_H-M_alt 'C m c m'
_space_group_IT_number 63
_space_group_name_Hall '-C 2c 2'
loop_
_atom_site_label
_atom_site_fract_x
_atom_site_fract_y
_atom_site_fract_z
Ca1 0.000 0.184 0.250
Sm1 0.000 0.000 0.000
Sm2 0.241 0.366 0.250
Y1 0.000 0.450 0.750
```

Calculated values
formation energy = 0.3150 eV per atom
volume = 39.0 Å³/atom
offset from the most stable computed form = 0.000 eV/f.u.
crystal system = orthorhombic
magnetic moment = 0.0 Bohr magnetons per cell

=====

An optimized crystal structure of Mg3ZrSi. Source: Alexandria, functional PBE-GGA.

CIF file:
```
data_Mg3ZrSi
_cell_length_a 5.494
_cell_length_b 5.494
_cell_length_c 5.494
_cell_angle_alpha 90.00
_cell_angle_beta 90.00
_cell_angle_gamma 90.00
_space_group_name_H-M_alt 'P m -3 m'
_space_group_IT_number 221
_space_group_name_Hall '-P 4 2 3'
loop_
_atom_site_label
_atom_site_fract_x
_atom_site_fract_y
_atom_site_fract_z
Mg1 0.000 0.000 0.500
Zr1 0.000 0.000 0.000
Si1 0.500 0.500 0.500
```

Calculated values
volume = 33.2 Å³/atom
offset from the most stable computed form = 4.658 eV/f.u.
crystal system = cubic
magnetic moment = 1.7 Bohr magnetons per cell